The following is a GGA-PBE calculation of crystalline BeHg2Rh at its relaxed geometry, from Alexandria.

a = 3.364 Å, b = 3.364 Å, c = 5.862 Å
α = 90.00°, β = 90.00°, γ = 90.00°
Sites, in units of the cell vectors:
1 Rh 0.500 0.500 0.250
2 Hg 0.000 0.000 0.989
3 Hg 0.000 0.000 0.511
4 Be 0.500 0.500 0.750

=====

The following is a GGA-PBE calculation of crystalline BeHg4Rh at its relaxed geometry, from Alexandria.

a = 5.627 Å, b = 5.627 Å, c = 5.627 Å
α = 60.00°, β = 60.00°, γ = 60.00°
Sites, in units of the cell vectors:
1 Rh 0.750 0.750 0.750
2 Hg 0.874 0.375 0.375
3 Hg 0.375 0.375 0.375
4 Hg 0.375 0.375 0.874
5 Be 0.000 0.000 0.000
6 Hg 0.375 0.874 0.375

=====

The following is a GGA-PBE calculation of crystalline BeHg2Rh at its relaxed geometry, from Alexandria.

a = 4.552 Å, b = 4.552 Å, c = 4.552 Å
α = 60.00°, β = 60.00°, γ = 60.00°
Sites, in units of the cell vectors:
1 Rh 0.750 0.750 0.750
2 Hg 0.250 0.250 0.250
3 Be 0.500 0.500 0.500
4 Hg 0.000 0.000 0.000

=====

The following is a GGA-PBE calculation of crystalline BeHgRh3 at its relaxed geometry, from Alexandria.

Computed properties:
- ΔE to the lowest computed polymorph: 1845.5 meV per atom

a = 4.929 Å, b = 4.929 Å, c = 4.929 Å
α = 90.00°, β = 90.00°, γ = 90.00°
Site moments in Bohr magnetons follow the coordinates.
Sites, in units of the cell vectors:
1 Rh 0.500 0.000 0.000  0.49
2 Rh 0.000 0.000 0.500  1.08
3 Be 0.500 0.500 0.500  0.00
4 Rh 0.000 0.500 0.000  0.80
5 Hg 0.000 0.000 0.000  0.04

=====

The following is a GGA-PBE calculation of crystalline BeHg2Rh at its relaxed geometry, from Alexandria.

a = 3.006 Å, b = 3.048 Å, c = 8.764 Å
α = 59.77°, β = 90.00°, γ = 90.00°
Sites, in units of the cell vectors:
1 Hg 0.500 0.351 0.301
2 Hg 0.000 0.880 0.950
3 Be 0.500 0.806 0.679
4 Rh 0.000 0.463 0.571

=====

The following is a GGA-PBE calculation of crystalline BeHg2Rh2 at its relaxed geometry, from Alexandria.

a = 6.087 Å, b = 6.087 Å, c = 4.474 Å
α = 90.00°, β = 90.00°, γ = 90.00°
Site moments in Bohr magnetons follow the coordinates.
Sites, in units of the cell vectors:
1 Rh 0.651 0.151 0.000  0.06
2 Rh 0.349 0.849 0.000  0.06
3 Be 0.000 0.000 0.000  0.00
4 Hg 0.331 0.169 0.500  0.00
5 Hg 0.669 0.831 0.500  0.00
6 Rh 0.151 0.349 0.000  0.06
7 Hg 0.831 0.331 0.500  0.00
8 Hg 0.169 0.669 0.500  0.00
9 Be 0.500 0.500 0.000  0.00
10 Rh 0.849 0.651 0.000  0.06

=====

The following is a GGA-PBE calculation of crystalline Be2HgRh2 at its relaxed geometry, from Alexandria.

Computed properties:
- ΔE to the lowest computed polymorph: 230.8 meV per atom

a = 4.128 Å, b = 4.128 Å, c = 5.088 Å
α = 66.07°, β = 66.07°, γ = 90.00°
Sites, in units of the cell vectors:
1 Rh 0.250 0.750 0.500
2 Be 0.652 0.652 0.696
3 Be 0.348 0.348 0.304
4 Rh 0.750 0.250 0.500
5 Hg 0.000 0.000 0.000

=====

The following is a GGA-PBE calculation of crystalline BeHg2Rh at its relaxed geometry, from Alexandria.

a = 7.425 Å, b = 7.425 Å, c = 2.921 Å
α = 78.35°, β = 78.35°, γ = 27.57°
Sites, in units of the cell vectors:
1 Be 0.250 0.250 0.250
2 Hg 0.920 0.920 0.080
3 Hg 0.580 0.580 0.420
4 Rh 0.750 0.750 0.750

=====

The following is a GGA-PBE calculation of crystalline BeHgRh at its relaxed geometry, from Alexandria.

Computed properties:
- ΔE to the lowest computed polymorph: 0.0 meV per atom

a = 5.355 Å, b = 5.355 Å, c = 2.996 Å
α = 73.76°, β = 73.75°, γ = 32.49°
Sites, in units of the cell vectors:
1 Be 0.039 0.039 0.961
2 Hg 0.334 0.334 0.666
3 Rh 0.627 0.627 0.373

=====

The following is a GGA-PBE calculation of crystalline BeHg2Rh at its relaxed geometry, from Alexandria.

a = 4.068 Å, b = 3.107 Å, c = 5.624 Å
α = 70.77°, β = 90.00°, γ = 90.00°
Sites, in units of the cell vectors:
1 Be 0.500 0.750 0.750
2 Hg 0.000 0.616 0.513
3 Rh 0.500 0.250 0.250
4 Hg 0.000 0.884 0.987

=====

The following is a GGA-PBE calculation of crystalline Be2HgRh2 at its relaxed geometry, from Alexandria.

Computed properties:
- ΔE to the lowest computed polymorph: 162.7 meV per atom

a = 6.857 Å, b = 6.857 Å, c = 2.882 Å
α = 90.00°, β = 90.00°, γ = 90.00°
Sites, in units of the cell vectors:
1 Be 0.860 0.360 0.500
2 Be 0.360 0.140 0.500
3 Rh 0.858 0.642 0.000
4 Rh 0.142 0.358 0.000
5 Be 0.640 0.860 0.500
6 Be 0.140 0.640 0.500
7 Hg 0.500 0.500 0.000
8 Rh 0.358 0.858 0.000
9 Rh 0.642 0.142 0.000
10 Hg 0.000 0.000 0.000

=====

The following is a GGA-PBE calculation of crystalline BeHg2Rh at its relaxed geometry, from Alexandria.

a = 8.361 Å, b = 8.361 Å, c = 8.361 Å
α = 21.26°, β = 21.26°, γ = 21.26°
Sites, in units of the cell vectors:
1 Rh 0.250 0.250 0.250
2 Hg 0.493 0.493 0.493
3 Be 0.750 0.750 0.750
4 Hg 0.007 0.007 0.007

=====

| no. | E_tot (Ry per atom) | ΔH_f (0 K) (eV/atom) |
| --- | --- | --- |
| 1 | -0.1894 | 0.344 |
| 2 | -0.0910 | 0.810 |
| 3 | -0.1870 | 0.376 |
| 4 | -0.2352 | 2.016 |
| 5 | -0.2192 | -0.063 |
| 6 | -0.2793 | 0.006 |
| 7 | -0.3363 | -0.085 |
| 8 | -0.2155 | -0.012 |
| 9 | -0.2892 | -0.141 |
| 10 | -0.1901 | 0.334 |
| 11 | -0.3413 | -0.153 |
| 12 | -0.1859 | 0.391 |